Entry 1:
Density functional theory data (PBE) for an optimized crystal structure of NaTc2Br.

Lattice parameters (Å, degrees): 4.491 4.491 4.491 60.00 60.00 60.00
Fractional coordinates of all 4 atoms:
Tc 0.250 0.250 0.250
Tc 0.750 0.750 0.750
Na 0.000 0.000 0.000
Br 0.500 0.500 0.500

Raw formation energy, eV/f.u.: 5.82
E above lowest polymorph, kcal/mol of atoms: 5.85
Symmetry: Fm-3m, No. 225
Calculated total energy, eV/atom: -4.48

---

Entry 2:
Density functional theory data (PBE) for an optimized crystal structure of NaTcBr5.

Lattice parameters (Å, degrees): 7.945 7.945 10.610 103.92 103.92 123.15
Each line ends with the local moment (μB).
Fractional coordinates of all 14 atoms:
Br 0.702 0.869 0.485  0.07
Br 0.369 0.202 0.985  0.07
Br 0.171 0.329 0.250  0.00
Br 0.100 0.804 0.112  0.10
Br 0.304 0.600 0.612  0.10
Br 0.696 0.400 0.388  0.10
Br 0.829 0.671 0.750  0.00
Br 0.298 0.131 0.515  0.07
Br 0.631 0.798 0.015  0.07
Br 0.900 0.196 0.888  0.10
Na 0.796 0.704 0.250  0.00
Na 0.204 0.296 0.750  0.00
Tc 0.000 0.000 0.000  2.23
Tc 0.500 0.500 0.500  2.23

Raw formation energy, eV/f.u.: -4.78
Symmetry: C2/c, No. 15
Calculated total energy, eV/atom: -3.55

---

Entry 3:
Density functional theory data (PBE) for an optimized crystal structure of NaTcBr3.

Lattice parameters (Å, degrees): 5.297 5.297 5.297 90.00 90.00 90.00
Each line ends with the local moment (μB).
Fractional coordinates of all 5 atoms:
Na 0.000 0.000 0.000  0.00
Tc 0.500 0.500 0.500  4.12
Br 0.000 0.500 0.000  0.10
Br 0.000 0.000 0.500  0.06
Br 0.500 0.000 0.000  0.07

Raw formation energy, eV/f.u.: 1.35
E above lowest polymorph, kcal/mol of atoms: 17.76
Symmetry: Pm-3m, No. 221
Calculated total energy, eV/atom: -3.07

---

Entry 4:
Density functional theory data (PBE) for an optimized crystal structure of NaTl2TcBr6.

Lattice parameters (Å, degrees): 7.848 7.858 7.510 58.27 58.32 59.90
Each line ends with the local moment (μB).
Fractional coordinates of all 10 atoms:
Br 0.011 0.532 0.297  0.02
Br 0.100 0.471 0.807  0.02
Br 0.532 0.162 0.296  0.02
Br 0.472 0.622 0.803  0.02
Br 0.161 0.010 0.300  0.02
Br 0.621 0.100 0.806  0.02
Na 0.816 0.816 0.552  0.00
Tl 0.552 0.551 0.346  0.01
Tl 0.080 0.081 0.757  0.01
Tc 0.316 0.316 0.051  1.58

Raw formation energy, eV/f.u.: -7.42
Symmetry: P-1, No. 2
Calculated total energy, eV/atom: -3.39

---

Entry 5:
Density functional theory data (PBE) for an optimized crystal structure of NaTlTcBr6.

Lattice parameters (Å, degrees): 7.346 7.346 13.556 90.00 90.00 120.00
Each line ends with the local moment (μB).
Fractional coordinates of all 18 atoms:
Tc 0.667 0.333 0.250  2.29
Tc 0.333 0.667 0.750  2.29
Tl 0.000 0.000 0.000  0.01
Tl 0.000 0.000 0.500  0.01
Br 0.393 0.045 0.141  0.05
Br 0.955 0.607 0.359  0.05
Br 0.652 0.607 0.141  0.05
Br 0.348 0.955 0.641  0.05
Br 0.045 0.652 0.859  0.05
Br 0.348 0.393 0.859  0.05
Br 0.607 0.955 0.859  0.05
Br 0.955 0.348 0.141  0.05
Br 0.393 0.348 0.359  0.05
Br 0.045 0.393 0.641  0.05
Br 0.607 0.652 0.641  0.05
Br 0.652 0.045 0.359  0.05
Na 0.333 0.667 0.250  0.00
Na 0.667 0.333 0.750  0.00

Raw formation energy, eV/f.u.: -6.79
Symmetry: P-31c, No. 163
Calculated total energy, eV/atom: -3.43

---

Entry 6:
Density functional theory data (PBE) for an optimized crystal structure of NaTcWBr2.

Lattice parameters (Å, degrees): 5.054 5.909 5.054 90.00 90.00 90.00
Each line ends with the local moment (μB).
Fractional coordinates of all 5 atoms:
Br 0.500 0.000 0.000  0.17
Br 0.000 0.000 0.500  0.10
Na 0.000 0.500 0.000  0.00
W 0.500 0.500 0.500  3.71
Tc 0.000 0.000 0.000  2.25

Raw formation energy, eV/f.u.: 8.03
Symmetry: P4/mmm, No. 123
Calculated total energy, eV/atom: -3.99

---

Entry 7:
Density functional theory data (PBE) for an optimized crystal structure of NaZnTcBr2.

Lattice parameters (Å, degrees): 5.354 5.363 5.354 90.00 90.00 90.00
Each line ends with the local moment (μB).
Fractional coordinates of all 5 atoms:
Br 0.000 0.000 0.500  0.04
Br 0.500 0.000 0.000  0.04
Zn 0.000 0.500 0.000  0.01
Tc 0.500 0.500 0.500  3.77
Na 0.000 0.000 0.000  0.00

Raw formation energy, eV/f.u.: 3.18
Symmetry: P4/mmm, No. 123
Calculated total energy, eV/atom: -2.63

---

Entry 8:
Density functional theory data (PBE) for an optimized crystal structure of NaZrTc2Br.

Lattice parameters (Å, degrees): 4.824 6.785 4.824 90.00 90.00 90.00
Each line ends with the local moment (μB).
Fractional coordinates of all 5 atoms:
Tc 0.500 0.000 0.000  2.04
Tc 0.000 0.000 0.500  1.70
Br 0.500 0.500 0.500  0.07
Na 0.000 0.500 0.000  -0.01
Zr 0.000 0.000 0.000  -0.40

Raw formation energy, eV/f.u.: 6.75
Symmetry: P4/mmm, No. 123
Calculated total energy, eV/atom: -5.10

---

Entry 9:
Density functional theory data (PBE) for an optimized crystal structure of NaTe2Br.

Lattice parameters (Å, degrees): 4.214 4.214 18.084 83.31 83.31 90.00
Fractional coordinates of all 8 atoms:
Br 0.000 0.000 0.000
Br 0.750 0.250 0.500
Te 0.375 0.375 0.750
Te 0.125 0.625 0.250
Te 0.625 0.125 0.250
Te 0.875 0.875 0.750
Na 0.500 0.500 0.000
Na 0.250 0.750 0.500

Raw formation energy, eV/f.u.: -2.52
E above lowest polymorph, kcal/mol of atoms: 0.00
Symmetry: I-42d, No. 122
Calculated total energy, eV/atom: -2.95

---

Entry 10:
Density functional theory data (PBE) for an optimized crystal structure of NaTe2Br4.

Lattice parameters (Å, degrees): 5.578 5.578 8.858 71.65 71.65 90.00
Fractional coordinates of all 7 atoms:
Br 0.211 0.211 0.579
Br 0.789 0.789 0.421
Br 0.000 0.500 0.000
Br 0.500 0.000 0.000
Te 0.369 0.369 0.261
Te 0.631 0.631 0.739
Na 0.000 0.000 0.000

Raw formation energy, eV/f.u.: -1.81
Symmetry: I4/mmm, No. 139
Calculated total energy, eV/atom: -2.30

---

Entry 11:
Density functional theory data (PBE) for an optimized crystal structure of Na2TeBr6.

Lattice parameters (Å, degrees): 6.920 6.920 13.016 90.00 90.00 90.00
Fractional coordinates of all 18 atoms:
Br 0.219 0.781 0.500
Br 0.281 0.281 0.000
Br 0.719 0.719 0.000
Br 0.190 0.810 0.155
Br 0.190 0.810 0.845
Br 0.810 0.190 0.155
Br 0.690 0.690 0.655
Br 0.310 0.310 0.345
Br 0.781 0.219 0.500
Br 0.310 0.310 0.655
Br 0.690 0.690 0.345
Br 0.810 0.190 0.845
Te 0.500 0.500 0.500
Te 0.000 0.000 0.000
Na 0.500 0.500 0.166
Na 0.500 0.500 0.834
Na 0.000 0.000 0.666
Na 0.000 0.000 0.334

Raw formation energy, eV/f.u.: -7.77
E above lowest polymorph, kcal/mol of atoms: 0.53
Symmetry: P4_2/mnm, No. 136
Calculated total energy, eV/atom: -2.62

---

Entry 12:
Density functional theory data (PBE) for an optimized crystal structure of NaTeBr5.

Lattice parameters (Å, degrees): 7.419 7.419 11.368 68.76 68.76 92.45
Fractional coordinates of all 14 atoms:
Br 0.347 0.258 0.358
Br 0.304 0.808 0.972
Br 0.742 0.653 0.142
Br 0.012 0.988 0.250
Br 0.696 0.192 0.028
Br 0.258 0.347 0.858
Br 0.808 0.304 0.472
Br 0.988 0.012 0.750
Br 0.192 0.696 0.528
Br 0.653 0.742 0.642
Te 0.000 0.000 0.000
Te 0.000 0.000 0.500
Na 0.688 0.312 0.750
Na 0.312 0.688 0.250

Raw formation energy, eV/f.u.: -4.44
Symmetry: C2/c, No. 15
Calculated total energy, eV/atom: -2.47